# Ta2HgTe

A relaxed Ta2HgTe crystal (GGA-PBEsol, Alexandria via LeMat-Bulk).

Cell and atoms, written as POSCAR:
```
Ta2HgTe
1.0
-1.3532 -4.3659 -1.2518
3.0508 -2.8893 -2.1917
1.7500 -3.7682 2.2798
Ta Te Hg
2 1 1
Direct
0.7500 0.7500 0.7500 Ta
0.2500 0.2500 0.2500 Ta
0.5000 0.5000 0.5000 Te
0.0000 0.0000 0.0000 Hg
```

Results
* space-group type: Fm-3m
* formation energy (no corrections): 0.385 eV/atom
* total magnetic moment: 0.000 μB per cell